## TaNb2Se6 (PBE-GGA)

Data for an optimized crystal structure of TaNb2Se6.

a = 7.4434 Å, b = 7.4434 Å, c = 9.0979 Å
α = 112.74°, β = 112.74°, γ = 27.07°
With the nearest neighbours (Å) after each atom.
Atoms (fractional coordinates):
Ta: 0.0000 0.0000 0.0000  6 Se 2.60-2.61
Nb: 0.3254 0.3254 0.6512  6 Se 2.59-2.70
Nb: 0.6746 0.6746 0.3488  6 Se 2.59-2.70
Se: 0.0281 0.0281 0.3014  1 Ta 2.61, 2 Nb 2.64
Se: 0.3120 0.3120 0.3592  3 Nb 2.59-2.62
Se: 0.3599 0.3599 0.9653  2 Ta 2.60, 1 Nb 2.70
Se: 0.6401 0.6401 0.0347  2 Ta 2.60, 1 Nb 2.70
Se: 0.6880 0.6880 0.6408  3 Nb 2.59-2.62
Se: 0.9719 0.9719 0.6986  1 Ta 2.61, 2 Nb 2.64

## Properties
**ρ**: 6.63 g cm⁻³
**Total energy**: -60.3 eV for the cell shown
**Crystal system**: monoclinic
**Magnetization**: 0.00 μB per cell
**Space group**: C2/m



## LiPm2Zn2Pt5 (PBE-GGA)

Data for an optimized crystal structure of LiPm2Zn2Pt5.

a = 9.7038 Å, b = 9.7038 Å, c = 3.8171 Å
α = 90.00°, β = 90.00°, γ = 90.00°
With the nearest neighbours (Å) after each atom.
Atoms (fractional coordinates):
Li: 0.0000 0.0000 0.0000  8 Pt 2.80
Li: 0.5000 0.5000 0.0000  8 Pt 2.80
Pm: 0.1771 0.3229 0.0000  3 Zn 2.76-2.95, 2 Pt 3.09
Pm: 0.3229 0.8229 0.0000  3 Zn 2.76-2.95, 2 Pt 3.09
Pm: 0.6771 0.1771 0.0000  3 Zn 2.76-2.95, 2 Pt 3.09
Pm: 0.8229 0.6771 0.0000  3 Zn 2.76-2.95, 2 Pt 3.09
Zn: 0.1216 0.6216 0.0000  6 Pt 2.54-2.63, 1 Pm 2.76
Zn: 0.3784 0.1216 0.0000  6 Pt 2.54-2.63, 1 Pm 2.76
Zn: 0.6216 0.8784 0.0000  6 Pt 2.54-2.63, 1 Pm 2.76
Zn: 0.8784 0.3784 0.0000  6 Pt 2.54-2.63, 1 Pm 2.76
Pt: 0.0000 0.5000 0.5000  4 Zn 2.54
Pt: 0.0640 0.7982 0.5000  2 Zn 2.63, 2 Li 2.80, 2 Pt 2.91
Pt: 0.2018 0.0640 0.5000  2 Zn 2.63, 2 Li 2.80, 2 Pt 2.91
Pt: 0.2982 0.5640 0.5000  2 Zn 2.63, 2 Li 2.80, 2 Pt 2.91
Pt: 0.4360 0.2982 0.5000  2 Zn 2.63, 2 Li 2.80, 2 Pt 2.91
Pt: 0.5000 0.0000 0.5000  4 Zn 2.54
Pt: 0.5640 0.7018 0.5000  2 Zn 2.63, 2 Li 2.80, 2 Pt 2.91
Pt: 0.7018 0.4360 0.5000  2 Zn 2.63, 2 Li 2.80, 2 Pt 2.91
Pt: 0.7982 0.9360 0.5000  2 Zn 2.63, 2 Li 2.80, 2 Pt 2.91
Pt: 0.9360 0.2018 0.5000  2 Zn 2.63, 2 Li 2.80, 2 Pt 2.91

## Properties
**ρ**: 12.96 g cm⁻³
**Total energy**: -103.3 eV for the cell shown
**Crystal system**: tetragonal
**Magnetization**: 0.00 μB per cell
**Space group**: P4/mbm



## La2NiWCl (PBE-GGA)

Data for an optimized crystal structure of La2NiWCl.

a = 5.6481 Å, b = 5.6481 Å, c = 4.4747 Å
α = 90.00°, β = 90.00°, γ = 90.00°
With the nearest neighbours (Å) after each atom.
Atoms (fractional coordinates):
La: 0.0000 0.5000 0.0000  2 W 2.82
La: 0.5000 0.0000 0.0000  2 W 2.82
Ni: 0.0000 0.0000 0.5000  2 W 2.24
W: 0.0000 0.0000 0.0000  2 Ni 2.24
Cl: 0.5000 0.5000 0.5000  8 La 3.60, 4 Ni 3.99

## Properties
**ρ**: 6.47 g cm⁻³
**Total energy**: -30.1 eV for the cell shown
**Crystal system**: tetragonal
**Magnetization**: 0.00 μB per cell
**Space group**: P4/mmm



## Pm3Pr4Y4 (PBE-GGA)

Data for an optimized crystal structure of Pm3Pr4Y4.

a = 12.3740 Å, b = 12.3740 Å, c = 12.3740 Å
α = 163.15°, β = 134.85°, γ = 48.53°
With the nearest neighbours (Å) after each atom.
Atoms (fractional coordinates):
Pm: 0.0000 0.0000 0.0000  4 Y 3.52, 2 Pm 3.63
Pm: 0.3919 0.8919 0.5000  6 Y 3.49-3.50, 2 Pm 3.63, 4 Pr 3.66
Pm: 0.6081 0.1081 0.5000  6 Y 3.49-3.50, 2 Pm 3.63, 4 Pr 3.66
Pr: 0.0328 0.3555 0.6772  3 Pr 3.37-3.63, 4 Y 3.52-3.75, 2 Pm 3.66
Pr: 0.3217 0.6445 0.6772  3 Pr 3.37-3.63, 4 Y 3.52-3.75, 2 Pm 3.66
Pr: 0.6783 0.3555 0.3228  3 Pr 3.37-3.63, 4 Y 3.52-3.75, 2 Pm 3.66
Pr: 0.9672 0.6445 0.3228  3 Pr 3.37-3.63, 4 Y 3.52-3.75, 2 Pm 3.66
Y: 0.2595 0.2595 0.0000  2 Pm 3.49, 6 Pr 3.59-3.75, 2 Y 3.63
Y: 0.3181 0.5000 0.8181  3 Y 3.46-3.63, 6 Pm 3.50-3.52, 2 Pr 3.52
Y: 0.6819 0.5000 0.1819  3 Y 3.46-3.63, 6 Pm 3.50-3.52, 2 Pr 3.52
Y: 0.7405 0.7405 0.0000  2 Pm 3.49, 6 Pr 3.59-3.75, 2 Y 3.63

## Properties
**ρ**: 5.79 g cm⁻³
**Total energy**: -57.8 eV for the cell shown
**Crystal system**: orthorhombic
**Magnetization**: 0.00 μB per cell
**Space group**: Immm